# YCrS2

A relaxed YCrS2 crystal (PBE-GGA, Alexandria).

Output
density	3.2	g cm⁻³
magnetic moment	15.00	μB per cell
excess energy over the best structure of this formula in the dataset	0	meV per atom
energy relative to the elements, uncorrected	-1052	meV/atom

Cell lengths 4.0276, 4.0276, 22.7590 Å; angles 90.00, 90.00, 120.00 degrees
With the nearest neighbours (Å) after each atom.
Space group R-3m (No. 166, hexagonal axes)
Unique sites:
Y  0.0000  0.0000  0.0000  6 S 2.74
Cr  0.0000  0.0000  0.5000  2 S 2.34
S  0.0000  0.0000  0.3970  1 Cr 2.34

***

# YCrS3

A relaxed YCrS3 crystal (PBE-GGA, Alexandria).

Output
density	2.8	g cm⁻³
magnetic moment	3.00	μB per cell
energy relative to the elements, uncorrected	-134	meV/atom

Cell lengths 5.1919, 5.1919, 5.1919 Å; angles 90.00, 90.00, 90.00 degrees
With the nearest neighbours (Å) after each atom.
Space group Pm-3m (No. 221)
Unique sites:
Y  0.0000  0.0000  0.0000  6 S 2.60
Cr  0.5000  0.5000  0.5000  12 S 3.67
S  0.0000  0.0000  0.5000  2 Y 2.60

***

Q: The highest magnetic moment belongs to which entry?
A: YCrS2

***

Q: density of number 1 (YCrS2)?
A: 3.2 g cm⁻³

***

Q: Look up the magnetic moment of the second one.
A: 3.00 μB per cell